First-principles (PBE-GGA) data for crystalline YMgMo2 at its relaxed geometry, as listed in Alexandria.

Summary:
The formation energy from the elements is 501 meV per atom. The uncorrected energy is -6.929 eV/atom. As for the volume: 19.1 Å³/atom.

Cell lengths 5.6747, 5.7010, 2.8132 Å; angles 77.43, 82.03, 116.64 degrees
With the nearest neighbours (Å) after each atom.
Sites, in units of the cell vectors:
Mg: 0.5000 0.0000 0.5000  2 Mg 2.81, 2 Y 2.89, 4 Mo 2.99
Mo: 0.0000 0.0000 0.0000  4 Mo 2.81-2.89, 2 Mg 2.99, 2 Y 2.99
Mo: 0.0000 0.5000 0.5000  4 Mo 2.81-2.89, 2 Y 2.99, 2 Mg 2.99
Y: 0.5000 0.5000 0.0000  2 Y 2.81, 2 Mg 2.89, 4 Mo 2.99


First-principles (PBE-GGA) data for crystalline TaTiAs at its relaxed geometry, as listed in Alexandria.

Summary:
The formation energy from the elements is -578 meV per atom. The uncorrected energy is -8.710 eV/atom. As for the volume: 17.0 Å³/atom.

Cell lengths 3.4878, 4.1437, 7.0585 Å; angles 90.02, 89.98, 90.00 degrees
With the nearest neighbours (Å) after each atom.
Sites, in units of the cell vectors:
Ta: 0.7500 0.7500 0.9879  4 Ta 2.71, 4 As 2.72-2.82, 2 Ti 2.97
Ta: 0.2500 0.2500 0.0121  4 Ta 2.71, 4 As 2.72-2.82, 2 Ti 2.97
Ti: 0.2504 0.7495 0.6476  5 As 2.57-2.75
Ti: 0.7496 0.2505 0.3524  5 As 2.57-2.75
As: 0.7503 0.2497 0.7164  5 Ti 2.57-2.75, 4 Ta 2.72-2.82
As: 0.2497 0.7503 0.2836  5 Ti 2.57-2.75, 4 Ta 2.72-2.82


First-principles (PBE-GGA) data for crystalline KGePtPb at its relaxed geometry, as listed in Alexandria.

Summary:
The formation energy from the elements is -370 meV per atom. The uncorrected energy is -4.236 eV/atom. As for the volume: 28.3 Å³/atom.

Cell lengths 4.2105, 4.2105, 7.7583 Å; angles 89.98, 105.74, 120.05 degrees
With the nearest neighbours (Å) after each atom.
Sites, in units of the cell vectors:
K: 0.3938 0.0614 0.4552  3 Ge 3.39, 3 Pb 3.73-3.74, 3 Pt 3.75-3.76
Ge: 0.5134 0.6211 0.1345  3 Pt 2.48
Pt: 0.8014 0.2653 0.0667  3 Ge 2.48
Pb: 0.9836 0.8565 0.8401  3 Pt 2.95, 3 Ge 3.26


First-principles (PBE-GGA) data for crystalline PrSm2Ho3P6 at its relaxed geometry, as listed in Alexandria.

Summary:
The formation energy from the elements is -1575 meV per atom. The uncorrected energy is -6.610 eV/atom. As for the volume: 23.7 Å³/atom.

Cell lengths 7.0402, 7.0402, 7.0377 Å; angles 99.59, 99.59, 119.99 degrees
With the nearest neighbours (Å) after each atom.
Sites, in units of the cell vectors:
Pr: 0.0000 0.0000 0.0000  6 P 2.93
Sm: 0.3332 0.6668 0.0000  6 P 2.90
Sm: 0.6668 0.3332 0.0000  6 P 2.90
Ho: 0.1661 0.8339 0.5000  6 P 2.83-2.85
Ho: 0.8339 0.1661 0.5000  6 P 2.83-2.85
Ho: 0.5000 0.5000 0.5000  6 P 2.82-2.85
P: 0.9136 0.5772 0.7408  3 Ho 2.83-2.85, 2 Sm 2.90, 1 Pr 2.93
P: 0.7500 0.7500 0.2591  3 Ho 2.82-2.84, 2 Sm 2.90, 1 Pr 2.93
P: 0.0864 0.4228 0.2592  3 Ho 2.83-2.85, 2 Sm 2.90, 1 Pr 2.93
P: 0.5772 0.9136 0.7408  3 Ho 2.83-2.85, 2 Sm 2.90, 1 Pr 2.93
P: 0.2500 0.2500 0.7409  3 Ho 2.82-2.84, 2 Sm 2.90, 1 Pr 2.93
P: 0.4228 0.0864 0.2592  3 Ho 2.83-2.85, 2 Sm 2.90, 1 Pr 2.93


First-principles (PBE-GGA) data for crystalline TePIrPt at its relaxed geometry, as listed in Alexandria.

Summary:
The uncorrected formation energy is -232 meV/atom. The uncorrected energy is -6.095 eV/atom. The calculation puts the energy above the most stable polymorph in this dataset at 70 meV/atom. As for the volume: 19.9 Å³/atom.

Cell lengths 7.4043, 3.0547, 7.9152 Å; angles 90.00, 117.06, 90.00 degrees
With the nearest neighbours (Å) after each atom.
Sites, in units of the cell vectors:
Te: 0.8118 0.0000 0.4217  1 Ir 2.61, 3 Pt 2.65-2.75
Te: 0.8118 0.5000 0.9217  1 Ir 2.61, 3 Pt 2.65-2.75
P: 0.3411 0.0000 0.5116  3 Ir 2.30-2.37, 1 Pt 2.32
P: 0.3411 0.5000 0.0116  3 Ir 2.30-2.37, 1 Pt 2.32
Ir: 0.4158 0.0000 0.2509  3 P 2.30-2.37
Ir: 0.4158 0.5000 0.7509  3 P 2.30-2.37
Pt: 0.0346 0.0000 0.2381  1 P 2.32
Pt: 0.0346 0.5000 0.7381  1 P 2.32


First-principles (PBE-GGA) data for crystalline NaCa2Te at its relaxed geometry, as listed in Alexandria.

Summary:
The uncorrected formation energy is -486 meV/atom. The uncorrected energy is -2.602 eV/atom. As for the volume: 39.4 Å³/atom.

Cell lengths 9.0401, 9.0401, 7.4660 Å; angles 52.74, 52.74, 90.00 degrees
With the nearest neighbours (Å) after each atom.
Sites, in units of the cell vectors:
Na: 0.5000 0.5000 0.0000  4 Ca 3.62, 2 Te 3.86
Na: 0.2500 0.7500 0.5000  4 Ca 3.62, 2 Te 3.86
Ca: 0.6697 0.1250 0.2500  2 Te 3.08
Ca: 0.0803 0.6250 0.2500  2 Te 3.08
Ca: 0.3750 0.3303 0.7500  2 Te 3.08
Ca: 0.8750 0.9197 0.7500  2 Te 3.08
Te: 0.0000 0.0000 0.0000  4 Ca 3.08
Te: 0.7500 0.2500 0.5000  4 Ca 3.08


Question: The highest volume belongs to which entry?
Answer: NaCa2Te


Question: The lowest uncorrected energy belongs to which entry?
Answer: TaTiAs


Question: Number 6 is which compound?
Answer: NaCa2Te